Computed, not measured: a relaxed Al2TcAg crystal at the PBE level of DFT.

Structure (CIF):
```
data_Al2TcAg
_cell_length_a 3.346
_cell_length_b 3.346
_cell_length_c 5.627
_cell_angle_alpha 90.00
_cell_angle_beta 90.00
_cell_angle_gamma 90.00
_symmetry_space_group_name_H-M 'P 4 m m'
_symmetry_Int_Tables_number 99
loop_
_symmetry_equiv_pos_as_xyz
'x,y,z'
'-y,x,z'
'-x,-y,z'
'y,-x,z'
'-x,y,z'
'y,x,z'
'x,-y,z'
'-y,-x,z'
loop_
_atom_site_label
_atom_site_type_symbol
_atom_site_fract_x
_atom_site_fract_y
_atom_site_fract_z
Al1 Al 0.000 0.000 0.000
Al2 Al 0.500 0.500 0.282
Tc1 Tc 0.000 0.000 0.461
Ag1 Ag 0.500 0.500 0.770
```

Computed properties:
The value obtained for the energy relative to the elements is -10 meV/atom. As for the spin magnetization: 0.00 μB per atom. As for the uncorrected energy: -20.743 eV/f.u.

Computed, not measured: a relaxed AlTcAg2 crystal at the PBE level of DFT.

Structure (CIF):
```
data_AlTcAg2
_cell_length_a 2.769
_cell_length_b 4.869
_cell_length_c 4.859
_cell_angle_alpha 90.00
_cell_angle_beta 94.07
_cell_angle_gamma 90.00
_symmetry_space_group_name_H-M 'P 1 2/m 1'
_symmetry_Int_Tables_number 10
loop_
_symmetry_equiv_pos_as_xyz
'x,y,z'
'-x,-y,-z'
'-x,y,-z'
'x,-y,z'
loop_
_atom_site_label
_atom_site_type_symbol
_atom_site_fract_x
_atom_site_fract_y
_atom_site_fract_z
Al1 Al 0.000 0.000 0.000
Tc1 Tc 0.500 0.000 0.500
Ag1 Ag 0.223 0.500 0.751
```

Computed properties:
The value obtained for the energy relative to the elements is 233 meV/atom. As for the spin magnetization: 0.00 μB per atom. As for the uncorrected energy: -18.879 eV/f.u.